Density functional theory data (GGA-PBE) for crystalline Pm4Te3Pd at its relaxed geometry.

Summary:
Raw total energy: -43.5 eV/cell
Crystal system: orthorhombic
Symmetry: Cmmm (65)
ΔE_f (raw): -1.235 eV per atom

POSCAR file:
```
Pm4Te3Pd
1.0
4.4844 -6.2767 0.0000
4.4844 6.2767 0.0000
0.0000 0.0000 4.3282
Pm Te Pd
4 3 1
Direct
0.2237 0.2237 0.5000 Pm
0.2442 0.7558 0.0000 Pm
0.7558 0.2442 0.0000 Pm
0.7763 0.7763 0.5000 Pm
0.0000 0.5000 0.5000 Te
0.5000 0.0000 0.5000 Te
0.5000 0.5000 0.0000 Te
0.0000 0.0000 0.0000 Pd
```